[1]
Computed, not measured: Gd2Nb2O5 after structural relaxation at the PBE level of DFT.

Geometry as POSCAR:
```
Gd2Nb2O5
1.0
3.520 0.000 0.000
0.000 3.520 0.000
0.000 0.000 9.943
Gd Nb O
2 2 5
Direct
0.000 0.000 0.237
0.000 0.000 0.763
0.500 0.500 0.000
0.500 0.500 0.500
0.000 0.000 0.000
0.000 0.500 0.378
0.000 0.500 0.622
0.500 0.000 0.378
0.500 0.000 0.622
```

size of the total moment = 0.132 μB/cell
E_tot = -8.18 eV per atom


[2]
Computed, not measured: GdNb2O4 after structural relaxation at the PBE level of DFT.

Geometry as POSCAR:
```
GdNb2O4
1.0
0.000 4.565 4.565
4.565 0.000 4.565
4.565 4.565 0.000
Gd Nb O
2 4 8
Direct
0.125 0.125 0.125
0.875 0.875 0.875
0.000 0.500 0.500
0.500 0.000 0.500
0.500 0.500 0.000
0.500 0.500 0.500
0.259 0.259 0.259
0.259 0.259 0.723
0.259 0.723 0.259
0.277 0.741 0.741
0.723 0.259 0.259
0.741 0.277 0.741
0.741 0.741 0.277
0.741 0.741 0.741
```

size of the total moment = 1.788 μB/cell
E_tot = -8.55 eV per atom


[3]
Computed, not measured: Gd2Nb2O5 after structural relaxation at the PBE level of DFT.

Geometry as POSCAR:
```
Gd2Nb2O5
1.0
4.056 0.000 0.000
0.000 4.056 0.000
0.000 0.000 6.976
Gd Nb O
2 2 5
Direct
0.000 0.000 0.000
0.000 0.000 0.500
0.500 0.500 0.193
0.500 0.500 0.807
0.000 0.500 0.248
0.000 0.500 0.752
0.500 0.000 0.248
0.500 0.000 0.752
0.500 0.500 0.500
```

size of the total moment = 0.009 μB/cell
E_tot = -8.37 eV per atom


[4]
Computed, not measured: Gd3NbO7 after structural relaxation at the PBE level of DFT.

Geometry as POSCAR:
```
Gd3NbO7
1.0
3.769 -5.288 0.000
3.769 5.288 0.000
0.000 0.000 7.513
Gd Nb O
6 2 14
Direct
0.031 0.031 0.000
0.037 0.499 0.260
0.499 0.037 0.740
0.501 0.963 0.240
0.963 0.501 0.760
0.969 0.969 0.500
0.498 0.498 0.500
0.502 0.502 0.000
0.129 0.871 0.750
0.137 0.863 0.250
0.170 0.416 0.977
0.191 0.446 0.545
0.416 0.170 0.023
0.430 0.570 0.250
0.446 0.191 0.455
0.554 0.809 0.955
0.570 0.430 0.750
0.584 0.830 0.523
0.809 0.554 0.045
0.830 0.584 0.477
0.863 0.137 0.750
0.871 0.129 0.250
```

size of the total moment = 0.002 μB/cell
E_tot = -8.63 eV per atom


[5]
Computed, not measured: Gd3NbS3O4 after structural relaxation at the PBE level of DFT.

Geometry as POSCAR:
```
Gd3NbS3O4
1.0
6.615 0.000 0.000
0.000 14.177 0.000
0.000 0.000 7.585
Gd Nb S O
12 4 12 16
Direct
0.216 0.157 0.000
0.222 0.918 0.756
0.226 0.167 0.510
0.274 0.667 0.010
0.278 0.418 0.256
0.284 0.657 0.500
0.716 0.343 0.000
0.722 0.582 0.756
0.726 0.333 0.510
0.774 0.833 0.010
0.778 0.082 0.256
0.784 0.843 0.500
0.185 0.927 0.244
0.315 0.427 0.744
0.685 0.573 0.244
0.815 0.073 0.744
0.003 0.274 0.247
0.024 0.494 0.530
0.044 0.297 0.764
0.456 0.797 0.264
0.476 0.994 0.030
0.497 0.774 0.747
0.503 0.226 0.247
0.524 0.006 0.530
0.544 0.203 0.764
0.956 0.703 0.264
0.976 0.506 0.030
0.997 0.726 0.747
0.120 0.864 0.025
0.125 0.884 0.479
0.135 0.073 0.745
0.144 0.064 0.263
0.356 0.564 0.763
0.365 0.573 0.245
0.375 0.384 0.979
0.380 0.364 0.525
0.620 0.636 0.025
0.625 0.616 0.479
0.635 0.427 0.745
0.644 0.436 0.263
0.856 0.936 0.763
0.865 0.927 0.245
0.875 0.116 0.979
0.880 0.136 0.525
```

size of the total moment = 0.003 μB/cell
E_tot = -7.77 eV per atom


[6]
Computed, not measured: GdNbSO2 after structural relaxation at the PBE level of DFT.

Geometry as POSCAR:
```
GdNbSO2
1.0
3.692 0.000 0.000
-1.846 3.198 0.000
0.000 0.000 6.305
Gd Nb S O
1 1 1 2
Direct
0.000 0.000 0.000
0.333 0.667 0.554
0.667 0.333 0.307
0.000 0.000 0.633
0.333 0.667 0.901
```

size of the total moment = 0.104 μB/cell
E_tot = -7.99 eV per atom


[7]
Computed, not measured: GdNbSn2O6 after structural relaxation at the PBE level of DFT.

Geometry as POSCAR:
```
GdNbSn2O6
1.0
-2.904 2.904 4.238
2.904 -2.904 4.238
2.904 2.904 -4.238
Gd Nb Sn O
1 1 2 6
Direct
0.000 0.000 0.000
0.500 0.500 0.000
0.250 0.750 0.500
0.750 0.250 0.500
0.191 0.342 0.533
0.264 0.264 0.000
0.342 0.809 0.151
0.658 0.191 0.849
0.736 0.736 0.000
0.809 0.658 0.467
```

size of the total moment = 0.000 μB/cell
E_tot = -7.37 eV per atom


[8]
Computed, not measured: GdNbOs after structural relaxation at the PBE level of DFT.

Geometry as POSCAR:
```
GdNbOs
1.0
6.391 0.000 0.000
0.000 6.391 0.000
0.000 0.000 6.391
Gd Nb Os
4 4 4
Direct
0.000 0.000 0.000
0.000 0.500 0.500
0.500 0.000 0.500
0.500 0.500 0.000
0.250 0.250 0.250
0.250 0.750 0.750
0.750 0.250 0.750
0.750 0.750 0.250
0.000 0.000 0.500
0.000 0.500 0.000
0.500 0.000 0.000
0.500 0.500 0.500
```

energy relative to the elements = 548 meV per atom
size of the total moment = 0.045 μB/cell


[9]
Computed, not measured: GdNbOs after structural relaxation at the PBE level of DFT.

Geometry as POSCAR:
```
GdNbOs
1.0
6.414 0.000 0.000
0.000 6.414 0.000
0.000 0.000 6.414
Gd Nb Os
4 4 4
Direct
0.000 0.000 0.000
0.000 0.500 0.500
0.500 0.000 0.500
0.500 0.500 0.000
0.250 0.250 0.750
0.250 0.750 0.250
0.750 0.250 0.250
0.750 0.750 0.750
0.250 0.250 0.250
0.250 0.750 0.750
0.750 0.250 0.750
0.750 0.750 0.250
```

energy relative to the elements = 1395 meV per atom
size of the total moment = 0.159 μB/cell


[10]
Computed, not measured: Gd2NbSi2Os after structural relaxation at the PBE level of DFT.

Geometry as POSCAR:
```
Gd2NbSi2Os
1.0
3.979 0.000 0.000
0.000 3.979 0.000
0.000 0.000 7.572
Gd Nb Si Os
2 1 2 1
Direct
0.000 0.500 0.150
0.500 0.000 0.850
0.000 0.000 0.500
0.000 0.500 0.726
0.500 0.000 0.274
0.500 0.500 0.500
```

size of the total moment = 0.471 μB/cell
E_tot = -7.52 eV per atom